Here is NdSmNi10 after structural relaxation from Alexandria via LeMat-Bulk. Energies are from PBE.

Summary:
Space-group type: Pmmm (47)
Formation energy from the elements, eV/atom: -0.286
Total energy, eV per atom: -5.8946
Theoretical density, Mg/m³: 8.7
Magnetization, μB per cell: 2.9

Structure (POSCAR):
```
NdSmNi10
1.0
3.9626 0.0000 0.0000
0.0000 4.9500 0.0000
0.0000 0.0000 8.5642
Nd Sm Ni
1 1 10
Cartesian
0.0000 2.4750 4.2821
0.0000 0.0000 0.0000
0.0000 0.0000 2.8425
0.0000 2.4750 7.1481
0.0000 2.4750 1.4162
0.0000 0.0000 5.7218
1.9813 0.0000 4.2821
1.9813 2.4750 0.0000
1.9813 1.2341 2.1302
1.9813 3.7159 6.4340
1.9813 3.7159 2.1302
1.9813 1.2341 6.4340
```



Here is Nd3Sm2Ni2 after structural relaxation from Alexandria via LeMat-Bulk. Energies are from PBE.

Summary:
Space-group type: C2/m (12)
Formation energy from the elements, eV/atom: -0.177
Total energy, eV per atom: -5.2208
Theoretical density, Mg/m³: 7.4
Magnetization, μB per cell: 0.0

Structure (POSCAR):
```
Nd3Sm2Ni2
1.0
-2.9768 1.1728 -1.9799
-0.7315 -6.2701 0.9610
-1.7350 3.2236 8.0930
Nd Sm Ni
3 2 2
Cartesian
-1.4884 0.5864 -0.9899
-2.1371 -2.9720 5.0282
-3.3061 1.0983 2.0460
-3.6503 0.3996 5.7249
-1.7930 -2.2733 1.3493
-1.2299 -4.8061 2.5774
-4.2133 2.9324 4.4968
```